Density functional theory data (PBEsol) for Al4Ag5 after structural relaxation.

The value obtained for the final energy is -3.71 eV per atom. The density of states at the Fermi level is 3.22 states/eV/f.u. For the total moment, the calculation gives 0.0 μB per formula unit. The calculation puts the energy of formation at -0.06 eV per atom.

The space group is I4/mmm (No. 139) and the conventional cell measures 8.729, 8.729 and 3.789 Å, with angles of 90.00, 90.00 and 90.00 degrees. The inequivalent atoms are Al at (0.165, 0.165, 0.000), Ag at (0.000, 0.000, 0.500) and Ag at (0.000, 0.326, 0.500).

***

Density functional theory data (PBEsol) for AlAg after structural relaxation.

The value obtained for the final energy is -3.78 eV per atom. The density of states at the Fermi level is 0.54 states/eV/f.u. For the total moment, the calculation gives 0.0 μB per formula unit. The calculation puts the energy of formation at -0.07 eV per atom.

The space group is P-6m2 (No. 187) and the conventional cell measures 2.9174, 2.9174 and 4.3815 Å, with angles of 90.00, 90.00 and 120.00 degrees. The inequivalent atoms are Al at (0.0000, 0.0000, 0.0000) and Ag at (0.3333, 0.6667, 0.5000).

***

Density functional theory data (PBEsol) for Al3Ag after structural relaxation.

The value obtained for the final energy is -3.91 eV per atom. The density of states at the Fermi level is 1.17 states/eV/f.u. For the total moment, the calculation gives 0.0 μB per formula unit. The calculation puts the energy of formation at -0.01 eV per atom.

The space group is Imma (No. 74) and the conventional cell measures 4.002, 4.035 and 16.111 Å, with angles of 90.00, 90.00 and 90.00 degrees. The inequivalent atoms are Al at (0.000, 0.250, 0.061), Al at (0.000, 0.250, 0.312), Al at (0.000, 0.250, 0.814) and Ag at (0.000, 0.250, 0.564).

***

Density functional theory data (PBEsol) for Al3Ag after structural relaxation.

The value obtained for the final energy is -3.92 eV per atom. The density of states at the Fermi level is 1.30 states/eV/f.u. For the total moment, the calculation gives 0.0 μB per formula unit. The calculation puts the energy of formation at -0.02 eV per atom.

The space group is Immm (No. 71) and the conventional cell measures 4.062, 7.971 and 12.057 Å, with angles of 90.00, 90.00 and 90.00 degrees. The inequivalent atoms are Al at (0.000, 0.000, 0.000), Al at (0.000, 0.244, 0.500), Al at (0.000, 0.253, 0.166), Al at (0.000, 0.500, 0.340), Ag at (0.000, 0.000, 0.323) and Ag at (0.000, 0.500, 0.000).

***

Density functional theory data (PBEsol) for Al5Ag2 after structural relaxation.

The value obtained for the final energy is -3.92 eV per atom. The density of states at the Fermi level is 2.26 states/eV/f.u. For the total moment, the calculation gives 0.0 μB per formula unit. The calculation puts the energy of formation at -0.05 eV per atom.

The space group is R-3m (No. 166, hexagonal axes) and the conventional cell measures 2.8976, 2.8976 and 46.8006 Å, with angles of 90.00, 90.00 and 120.00 degrees. The inequivalent atoms are Al at (0.0000, 0.0000, 0.0000), Al at (0.0000, 0.0000, 0.1428), Al at (0.0000, 0.0000, 0.2849) and Ag at (0.0000, 0.0000, 0.4292).

***

Density functional theory data (PBEsol) for Al3Ag5 after structural relaxation.

The value obtained for the final energy is -3.69 eV per atom. The density of states at the Fermi level is 1.85 states/eV/f.u. For the total moment, the calculation gives 0.0 μB per formula unit. The calculation puts the energy of formation at -0.09 eV per atom.

The space group is Cmmm (No. 65) and the conventional cell measures 6.580, 12.436 and 3.113 Å, with angles of 90.00, 90.00 and 90.00 degrees. The inequivalent atoms are Al at (0.000, 0.000, 0.000), Al at (0.000, 0.269, 0.000), Ag at (0.000, 0.500, 0.000) and Ag at (0.224, 0.130, 0.500).

***

Density functional theory data (PBEsol) for AlAg after structural relaxation.

The value obtained for the final energy is -3.77 eV per atom. The density of states at the Fermi level is 0.50 states/eV/f.u. For the total moment, the calculation gives 0.0 μB per formula unit. The calculation puts the energy of formation at -0.06 eV per atom.

The space group is Pmmm (No. 47) and the conventional cell measures 3.006, 5.565 and 7.730 Å, with angles of 90.00, 90.00 and 90.00 degrees. The inequivalent atoms are Al at (0.000, 0.000, 0.235), Al at (0.500, 0.237, 0.500), Ag at (0.000, 0.500, 0.271) and Ag at (0.500, 0.252, 0.000).

***

Density functional theory data (PBEsol) for Al2Ag5 after structural relaxation.

The value obtained for the final energy is -3.62 eV per atom. The density of states at the Fermi level is 2.13 states/eV/f.u. For the total moment, the calculation gives 0.0 μB per formula unit. The calculation puts the energy of formation at -0.09 eV per atom.

The space group is C2/m (No. 12) and the conventional cell measures 8.792, 4.099 and 6.352 Å, with angles of 90.00, 99.61 and 90.00 degrees. The inequivalent atoms are Al at (0.216, 0.000, 0.155), Ag at (0.000, 0.500, 0.000), Ag at (0.074, 0.000, 0.729) and Ag at (0.144, 0.500, 0.431).

***

Repeat the fourth record exactly.
Density functional theory data (PBEsol) for Al3Ag after structural relaxation.

The value obtained for the final energy is -3.92 eV per atom. The density of states at the Fermi level is 1.30 states/eV/f.u. For the total moment, the calculation gives 0.0 μB per formula unit. The calculation puts the energy of formation at -0.02 eV per atom.

The space group is Immm (No. 71) and the conventional cell measures 4.062, 7.971 and 12.057 Å, with angles of 90.00, 90.00 and 90.00 degrees. The inequivalent atoms are Al at (0.000, 0.000, 0.000), Al at (0.000, 0.244, 0.500), Al at (0.000, 0.253, 0.166), Al at (0.000, 0.500, 0.340), Ag at (0.000, 0.000, 0.323) and Ag at (0.000, 0.500, 0.000).

***

- What is the total moment in the first record?
  0.0 μB per formula unit